Entry 1:
Density functional theory data (PBE) for an optimized crystal structure of La3CrIr.

```
data_La3CrIr
_space_group_name_H-M_alt 'P m -3 m'
_space_group_IT_number 221
_space_group_name_Hall '-P 4 2 3'
_cell_length_a 5.619
_cell_length_b 5.619
_cell_length_c 5.619
_cell_angle_alpha 90.00
_cell_angle_beta 90.00
_cell_angle_gamma 90.00
loop_
_atom_site_label
_atom_site_type_symbol
_atom_site_fract_x
_atom_site_fract_y
_atom_site_fract_z
_atom_site_occupancy
La1 La 0.000 0.000 0.500 1
Cr1 Cr 0.500 0.500 0.500 1
Ir1 Ir 0.000 0.000 0.000 1
```

Values from the calculation:
V: 35.48 Å³/atom
Crystal system: cubic
E above lowest polymorph: 0 meV/atom
Total magnetic moment: 4.71 μB per formula unit
Mass density: 6.19 g/cm3

=====

Entry 2:
Density functional theory data (PBE) for an optimized crystal structure of CrAs2Ir.

```
data_CrAs2Ir
_space_group_name_H-M_alt 'I -4 m 2'
_space_group_IT_number 119
_space_group_name_Hall 'I -4 -2'
_cell_length_a 3.816
_cell_length_b 3.816
_cell_length_c 8.523
_cell_angle_alpha 90.00
_cell_angle_beta 90.00
_cell_angle_gamma 90.00
loop_
_atom_site_label
_atom_site_type_symbol
_atom_site_fract_x
_atom_site_fract_y
_atom_site_fract_z
_atom_site_occupancy
Cr1 Cr 0.000 0.000 0.000 1
As1 As 0.000 0.000 0.500 1
As2 As 0.000 0.500 0.250 1
Ir1 Ir 0.000 0.500 0.750 1
```

Values from the calculation:
V: 15.51 Å³/atom
Crystal system: tetragonal
E above lowest polymorph: 226 meV/atom
Total magnetic moment: 3.07 μB per formula unit
Mass density: 10.55 g/cm3

=====

Entry 3:
Density functional theory data (PBE) for an optimized crystal structure of TaTcMo2.

```
data_TaTcMo2
_space_group_name_H-M_alt 'C m m m'
_space_group_IT_number 65
_space_group_name_Hall '-C 2 2'
_cell_length_a 3.176
_cell_length_b 4.530
_cell_length_c 8.951
_cell_angle_alpha 90.00
_cell_angle_beta 90.00
_cell_angle_gamma 90.00
loop_
_atom_site_label
_atom_site_type_symbol
_atom_site_fract_x
_atom_site_fract_y
_atom_site_fract_z
_atom_site_occupancy
Ta1 Ta 0.000 0.000 0.000 1
Tc1 Tc 0.000 0.000 0.500 1
Mo1 Mo 0.000 0.500 0.258 1
```

Values from the calculation:
V: 16.10 Å³/atom
Crystal system: orthorhombic
E above lowest polymorph: 165 meV/atom
Total magnetic moment: 0.00 μB per formula unit
Mass density: 12.14 g/cm3

=====

Entry 4:
Density functional theory data (PBE) for an optimized crystal structure of Cs6HgAu2F.

```
data_Cs6HgAu2F
_space_group_name_H-M_alt 'R 3'
_space_group_IT_number 146
_space_group_name_Hall 'R 3'
_cell_length_a 8.8293
_cell_length_b 8.8293
_cell_length_c 24.4450
_cell_angle_alpha 90.00
_cell_angle_beta 90.00
_cell_angle_gamma 120.00
loop_
_atom_site_label
_atom_site_type_symbol
_atom_site_fract_x
_atom_site_fract_y
_atom_site_fract_z
_atom_site_occupancy
Cs1 Cs 0.0267 0.3979 0.0000 1
Cs2 Cs 0.0437 0.6846 0.1484 1
Hg1 Hg 0.0000 0.0000 0.9287 1
Au1 Au 0.0000 0.0000 0.0517 1
Au2 Au 0.0000 0.0000 0.5809 1
F1 F 0.0000 0.0000 0.4027 1
```

Values from the calculation:
V: 55.03 Å³/atom
Crystal system: trigonal
Total magnetic moment: 0.22 μB per formula unit
Mass density: 4.26 g/cm3
Formation energy from raw total energies: -0.669 eV per atom

=====

Entry 5:
Density functional theory data (PBE) for an optimized crystal structure of NaCdSnPt.

```
data_NaCdSnPt
_space_group_name_H-M_alt 'F -4 3 m'
_space_group_IT_number 216
_space_group_name_Hall 'F -4 2 3'
_cell_length_a 6.806
_cell_length_b 6.806
_cell_length_c 6.806
_cell_angle_alpha 90.00
_cell_angle_beta 90.00
_cell_angle_gamma 90.00
loop_
_atom_site_label
_atom_site_type_symbol
_atom_site_fract_x
_atom_site_fract_y
_atom_site_fract_z
_atom_site_occupancy
Na1 Na 0.000 0.000 0.000 1
Cd1 Cd 0.250 0.250 0.750 1
Sn1 Sn 0.250 0.250 0.250 1
Pt1 Pt 0.000 0.000 0.500 1
```

Values from the calculation:
V: 19.71 Å³/atom
Crystal system: cubic
Total magnetic moment: 0.00 μB per formula unit
Mass density: 9.46 g/cm3
DFT total energy: -3.37 eV per atom

=====

Entry 6:
Density functional theory data (PBE) for an optimized crystal structure of SrTl2Ir.

```
data_SrTl2Ir
_space_group_name_H-M_alt 'I -4 2 d'
_space_group_IT_number 122
_space_group_name_Hall 'I -4 2bw'
_cell_length_a 5.245
_cell_length_b 5.245
_cell_length_c 18.430
_cell_angle_alpha 90.00
_cell_angle_beta 90.00
_cell_angle_gamma 90.00
loop_
_atom_site_label
_atom_site_type_symbol
_atom_site_fract_x
_atom_site_fract_y
_atom_site_fract_z
_atom_site_occupancy
Sr1 Sr 0.000 0.000 0.000 1
Tl1 Tl 0.127 0.250 0.625 1
Ir1 Ir 0.000 0.000 0.500 1
```

Values from the calculation:
V: 31.69 Å³/atom
Crystal system: tetragonal
Total magnetic moment: 0.00 μB per formula unit
Mass density: 9.02 g/cm3
DFT total energy: -3.57 eV per atom

=====

Entry 7:
Density functional theory data (PBE) for an optimized crystal structure of Dy3Al8Ni3.

```
data_Dy3Al8Ni3
_space_group_name_H-M_alt 'C 1 2/m 1'
_space_group_IT_number 12
_cell_length_a 15.474
_cell_length_b 4.346
_cell_length_c 8.824
_cell_angle_alpha 90.00
_cell_angle_beta 124.58
_cell_angle_gamma 90.00
loop_
_space_group_symop_operation_xyz
'x,y,z'
'-x,-y,-z'
'-x,y,-z'
'x,-y,z'
'x+1/2,y+1/2,z'
'-x+1/2,-y+1/2,-z'
'-x+1/2,y+1/2,-z'
'x+1/2,-y+1/2,z'
loop_
_atom_site_label
_atom_site_type_symbol
_atom_site_fract_x
_atom_site_fract_y
_atom_site_fract_z
_atom_site_occupancy
Dy1 Dy 0.000 0.000 0.000 1
Dy2 Dy 0.217 0.500 0.711 1
Al1 Al 0.009 0.500 0.674 1
Al2 Al 0.131 0.000 0.427 1
Al3 Al 0.149 0.000 0.865 1
Al4 Al 0.150 0.500 0.274 1
Ni1 Ni 0.000 0.000 0.500 1
Ni2 Ni 0.152 0.500 0.002 1
```

Values from the calculation:
V: 17.45 Å³/atom
Crystal system: monoclinic
Total magnetic moment: 0.00 μB per formula unit
Mass density: 5.98 g/cm3
DFT total energy: -4.90 eV per atom

=====

Entry 8:
Density functional theory data (PBE) for an optimized crystal structure of NiHgP2.

```
data_NiHgP2
_space_group_name_H-M_alt 'P 4/m m m'
_space_group_IT_number 123
_space_group_name_Hall '-P 4 2'
_cell_length_a 3.675
_cell_length_b 3.675
_cell_length_c 4.789
_cell_angle_alpha 90.00
_cell_angle_beta 90.00
_cell_angle_gamma 90.00
loop_
_atom_site_label
_atom_site_type_symbol
_atom_site_fract_x
_atom_site_fract_y
_atom_site_fract_z
_atom_site_occupancy
Ni1 Ni 0.000 0.000 0.000 1
Hg1 Hg 0.500 0.500 0.000 1
P1 P 0.000 0.500 0.500 1
```

Values from the calculation:
V: 16.17 Å³/atom
Crystal system: tetragonal
Total magnetic moment: 0.00 μB per formula unit
Mass density: 8.25 g/cm3
DFT total energy: -3.67 eV per atom

=====

Entry 9:
Density functional theory data (PBE) for an optimized crystal structure of La6PdAu2Br3.

```
data_La6PdAu2Br3
_space_group_name_H-M_alt 'C 1 2/m 1'
_space_group_IT_number 12
_cell_length_a 19.505
_cell_length_b 4.360
_cell_length_c 9.018
_cell_angle_alpha 90.00
_cell_angle_beta 105.93
_cell_angle_gamma 90.00
loop_
_space_group_symop_operation_xyz
'x,y,z'
'-x,-y,-z'
'-x,y,-z'
'x,-y,z'
'x+1/2,y+1/2,z'
'-x+1/2,-y+1/2,-z'
'-x+1/2,y+1/2,-z'
'x+1/2,-y+1/2,z'
loop_
_atom_site_label
_atom_site_type_symbol
_atom_site_fract_x
_atom_site_fract_y
_atom_site_fract_z
_atom_site_occupancy
La1 La 0.003 0.000 0.231 1
La2 La 0.156 0.500 0.093 1
La3 La 0.171 0.500 0.576 1
Pd1 Pd 0.000 0.500 0.000 1
Au1 Au 0.166 0.000 0.335 1
Br1 Br 0.000 0.500 0.500 1
Br2 Br 0.171 0.000 0.837 1
```

Values from the calculation:
V: 30.72 Å³/atom
Crystal system: monoclinic
Total magnetic moment: 0.00 μB per formula unit
Mass density: 7.09 g/cm3
Formation energy from raw total energies: -1.050 eV per atom

=====

Entry 10:
Density functional theory data (PBE) for an optimized crystal structure of SmTiZnPt2.

```
data_SmTiZnPt2
_space_group_name_H-M_alt 'I -4 m 2'
_space_group_IT_number 119
_space_group_name_Hall 'I -4 -2'
_cell_length_a 4.002
_cell_length_b 4.002
_cell_length_c 12.119
_cell_angle_alpha 90.00
_cell_angle_beta 90.00
_cell_angle_gamma 90.00
loop_
_atom_site_label
_atom_site_type_symbol
_atom_site_fract_x
_atom_site_fract_y
_atom_site_fract_z
_atom_site_occupancy
Sm1 Sm 0.000 0.000 0.000 1
Ti1 Ti 0.000 0.500 0.750 1
Zn1 Zn 0.000 0.500 0.250 1
Pt1 Pt 0.000 0.000 0.388 1
```

Values from the calculation:
V: 19.41 Å³/atom
Crystal system: tetragonal
Total magnetic moment: 0.01 μB per formula unit
Mass density: 11.19 g/cm3
DFT total energy: -6.06 eV per atom

=====

Entry 11:
Density functional theory data (PBE) for an optimized crystal structure of Np2Ga12Pd.

```
data_Np2Ga12Pd
_space_group_name_H-M_alt 'P 4/n b m'
_space_group_IT_number 125
_cell_length_a 6.082
_cell_length_b 6.082
_cell_length_c 15.471
_cell_angle_alpha 90.00
_cell_angle_beta 90.00
_cell_angle_gamma 90.00
loop_
_space_group_symop_operation_xyz
'x,y,z'
'-x,-y,-z'
'-y+1/2,x,z'
'y+1/2,-x,-z'
'-x+1/2,-y+1/2,z'
'x+1/2,y+1/2,-z'
'y,-x+1/2,z'
'-y,x+1/2,-z'
'x,-y+1/2,-z'
'-x,y+1/2,z'
'-y+1/2,-x+1/2,-z'
'y+1/2,x+1/2,z'
'-x+1/2,y,-z'
'x+1/2,-y,z'
'y,x,-z'
'-y,-x,z'
loop_
_atom_site_label
_atom_site_type_symbol
_atom_site_fract_x
_atom_site_fract_y
_atom_site_fract_z
_atom_site_occupancy
Np1 Np 0.250 0.750 0.242 1
Ga1 Ga 0.000 0.000 0.091 1
Ga2 Ga 0.081 0.581 0.430 1
Ga3 Ga 0.250 0.250 0.189 1
Ga4 Ga 0.250 0.250 0.345 1
Pd1 Pd 0.250 0.750 0.000 1
```

Values from the calculation:
V: 19.08 Å³/atom
Crystal system: tetragonal
Total magnetic moment: 8.29 μB per formula unit
Mass density: 8.22 g/cm3
DFT total energy: -4.69 eV per atom

=====

Entry 12:
Density functional theory data (PBE) for an optimized crystal structure of TeAs2S.

```
data_TeAs2S
_space_group_name_H-M_alt 'I -4 2 d'
_space_group_IT_number 122
_space_group_name_Hall 'I -4 2bw'
_cell_length_a 7.082
_cell_length_b 7.082
_cell_length_c 8.146
_cell_angle_alpha 90.00
_cell_angle_beta 90.00
_cell_angle_gamma 90.00
loop_
_atom_site_label
_atom_site_type_symbol
_atom_site_fract_x
_atom_site_fract_y
_atom_site_fract_z
_atom_site_occupancy
Te1 Te 0.000 0.000 0.000 1
As1 As 0.218 0.250 0.625 1
S1 S 0.000 0.000 0.500 1
```

Values from the calculation:
V: 25.53 Å³/atom
Crystal system: tetragonal
E above lowest polymorph: 115 meV/atom
Total magnetic moment: 0.00 μB per formula unit
Mass density: 5.03 g/cm3
Formation energy from raw total energies: 0.304 eV per atom